# 1
The following is a DFT calculation (PBE-GGA) of a geometry-optimized Tm2FePt9 structure.

```
Tm2FePt9
1.0
4.045 0.000 0.000
0.000 4.045 0.000
0.000 0.000 12.061
Tm Fe Pt
2 1 9
Direct
0.000 0.000 0.171 Tm
0.000 0.000 0.829 Tm
0.000 0.000 0.500 Fe
0.000 0.500 0.000 Pt
0.000 0.500 0.346 Pt
0.000 0.500 0.654 Pt
0.500 0.000 0.000 Pt
0.500 0.000 0.346 Pt
0.500 0.000 0.654 Pt
0.500 0.500 0.172 Pt
0.500 0.500 0.500 Pt
0.500 0.500 0.828 Pt
```

Properties
The formation energy from the elements comes out at -0.784 eV/atom. The total DFT energy (no corrections) comes out at -6.765 eV per atom.

=====

# 2
The following is a DFT calculation (PBE-GGA) of a geometry-optimized TmFe4Pt structure.

```
TmFe4Pt
1.0
0.000 3.509 3.509
3.509 0.000 3.509
3.509 3.509 0.000
Tm Fe Pt
1 4 1
Direct
0.000 0.000 0.000 Tm
0.125 0.625 0.625 Fe
0.625 0.125 0.625 Fe
0.625 0.625 0.125 Fe
0.625 0.625 0.625 Fe
0.250 0.250 0.250 Pt
```

Properties
The formation energy from the elements comes out at -0.232 eV/atom. The total DFT energy (no corrections) comes out at -7.625 eV per atom.

=====

# 3
The following is a DFT calculation (PBE-GGA) of a geometry-optimized UFe2Pt structure.

```
UFe2Pt
1.0
4.036 0.000 0.000
0.000 4.036 0.000
0.000 0.000 3.700
U Fe Pt
1 2 1
Direct
0.000 0.000 0.000 U
0.000 0.500 0.500 Fe
0.500 0.000 0.500 Fe
0.500 0.500 0.000 Pt
```

Properties
The formation energy from the elements comes out at -0.347 eV/atom. The total DFT energy (no corrections) comes out at -8.911 eV per atom.

=====

# 4
The following is a DFT calculation (PBE-GGA) of a geometry-optimized U2FePt structure.

```
U2FePt
1.0
2.948 0.000 0.000
-1.474 2.553 0.000
0.000 0.000 29.242
U Fe Pt
6 3 3
Direct
0.000 0.000 0.093 U
0.000 0.000 0.907 U
0.333 0.667 0.573 U
0.333 0.667 0.760 U
0.667 0.333 0.240 U
0.667 0.333 0.427 U
0.000 0.000 0.500 Fe
0.333 0.667 0.167 Fe
0.667 0.333 0.833 Fe
0.000 0.000 0.000 Pt
0.333 0.667 0.667 Pt
0.667 0.333 0.333 Pt
```

Properties
The formation energy from the elements comes out at 0.205 eV/atom. The total DFT energy (no corrections) comes out at -9.065 eV per atom.

=====

Calculated magnetization (μB/f.u.), listed in the same order as above: 4.8; 10.1; 1.5; 2.2